Below is Pm3Y12Mg after structural relaxation, with properties calculated at the PBE level.

The structure in POSCAR format:
```
Pm3Y12Mg
1.0
5.046 0.000 0.000
0.000 5.046 0.000
0.000 0.000 20.263
Pm Y Mg
3 12 1
direct
0.000 0.000 0.248
0.000 0.000 0.500
0.000 0.000 0.752
0.500 0.500 0.000
0.500 0.500 0.244
0.500 0.500 0.500
0.500 0.500 0.756
0.500 0.000 0.122
0.500 0.000 0.373
0.500 0.000 0.627
0.500 0.000 0.878
0.000 0.500 0.122
0.000 0.500 0.373
0.000 0.500 0.627
0.000 0.500 0.878
0.000 0.000 0.000
```

Output
Its formation energy is 0.02 eV/atom. As for the space group: P4/mmm.

***

Below is SrFeI after structural relaxation, with properties calculated at the PBE level.

The structure in POSCAR format:
```
SrFeI
1.0
-3.380 -0.628 2.557
-1.838 -19.242 -7.155
2.632 -1.416 3.132
I Sr Fe
4 4 4
direct
0.000 0.331 0.250
0.000 0.669 0.750
0.500 0.831 0.250
0.500 0.169 0.750
0.000 0.094 0.250
0.000 0.906 0.750
0.500 0.594 0.250
0.500 0.406 0.750
0.000 0.479 0.250
0.000 0.521 0.750
0.500 0.979 0.250
0.500 0.021 0.750
```

Output
The uncorrected formation energy comes out at -0.4143 eV/atom. As for the space group: Cmcm.

***

Below is EuPIr after structural relaxation, with properties calculated at the PBE level.

The structure in POSCAR format:
```
EuPIr
1.0
-0.041 -2.287 3.774
3.062 -2.257 -1.335
0.740 3.386 2.060
Eu P Ir
1 1 1
direct
0.667 0.667 0.333
0.167 0.000 0.000
0.167 0.333 0.667
```

Output
Its formation energy is -0.93 eV/atom. As for the space group: P-6m2.

***

Below is SmHfNiOs after structural relaxation, with properties calculated at the PBE level.

The structure in POSCAR format:
```
SmHfNiOs
1.0
4.729 0.000 0.000
2.365 4.096 0.000
2.365 1.365 3.861
Hf Os Sm Ni
1 1 1 1
direct
0.500 0.500 0.500
0.250 0.250 0.250
0.000 0.000 0.000
0.750 0.750 0.750
```

Output
Its formation energy is -0.26 eV/atom. As for the space group: F-43m.

***

Below is BiPd4 after structural relaxation, with properties calculated at the PBE level.

The structure in POSCAR format:
```
BiPd4
1.0
-2.336 3.184 1.778
-2.024 1.373 -5.117
-3.265 -6.798 2.611
Bi Pd
2 8
direct
0.890 0.140 0.781
0.110 0.860 0.219
0.101 0.351 0.202
0.899 0.649 0.798
0.500 0.000 0.000
0.500 0.500 0.000
0.694 0.203 0.387
0.306 0.797 0.613
0.306 0.316 0.613
0.694 0.684 0.387
```

Output
Its formation energy is -0.14 eV/atom. As for the space group: Imma. The relative energy among the computed polymorphs comes out at 0.00 eV per formula unit.

***

Below is KNa2SnRh after structural relaxation, with properties calculated at the PBE level.

The structure in POSCAR format:
```
KNa2SnRh
1.0
-4.989 -0.987 2.321
1.971 -4.734 2.225
1.423 2.537 4.139
Na K Rh Sn
2 1 1 1
direct
0.000 0.500 0.000
0.500 0.000 0.000
0.500 0.500 0.500
0.000 0.000 0.000
0.000 0.000 0.500
```

Output
Its formation energy is -0.05 eV/atom. As for the space group: P4/mmm.

***

Below is ScNb2B2Ru5 after structural relaxation, with properties calculated at the PBE level.

The structure in POSCAR format:
```
ScNb2B2Ru5
1.0
-0.135 -3.047 0.062
0.404 0.174 9.432
-9.424 0.425 0.396
Sc Nb B Ru
2 4 4 10
direct
0.000 0.000 0.000
0.000 0.500 0.500
0.000 0.677 0.177
0.000 0.323 0.823
0.000 0.177 0.323
0.000 0.823 0.677
0.000 0.123 0.623
0.000 0.877 0.377
0.000 0.623 0.877
0.000 0.377 0.123
0.500 0.220 0.072
0.500 0.780 0.928
0.500 0.072 0.780
0.500 0.720 0.428
0.500 0.928 0.220
0.500 0.280 0.572
0.500 0.572 0.720
0.500 0.428 0.280
0.500 0.500 0.000
0.500 0.000 0.500
```

Output
Its formation energy is -0.47 eV/atom. As for the space group: P4/mbm. The relative energy among the computed polymorphs comes out at 0.56 eV per formula unit.

***

Below is LiCe2TlSe4 after structural relaxation, with properties calculated at the PBE level.

The structure in POSCAR format:
```
LiCe2TlSe4
1.0
-1.082 8.213 -2.681
-4.219 -2.922 -7.033
-2.736 -2.265 7.764
Li Ce Tl Se
2 4 2 8
direct
0.500 0.500 0.500
0.000 0.000 0.000
0.500 0.000 0.000
0.500 0.000 0.500
0.000 0.000 0.500
0.500 0.500 0.000
0.000 0.500 0.000
0.000 0.500 0.500
0.278 0.765 0.022
0.735 0.222 0.478
0.265 0.778 0.522
0.722 0.235 0.978
0.739 0.761 0.005
0.739 0.761 0.495
0.261 0.239 0.505
0.261 0.239 0.995
```

Output
The uncorrected formation energy comes out at -1.4055 eV/atom. As for the space group: Imma.

***

Below is GaPHPtS after structural relaxation, with properties calculated at the PBE level.

The structure in POSCAR format:
```
GaPHPtS
1.0
-6.025 -2.672 -4.995
0.372 -3.484 1.415
-2.682 1.909 5.407
Ga P H Pt S
2 2 2 2 2
direct
0.139 0.000 0.204
0.139 0.500 0.704
0.434 0.000 0.369
0.434 0.500 0.869
0.676 0.000 0.012
0.676 0.500 0.512
0.544 0.000 0.761
0.544 0.500 0.261
0.011 0.000 0.818
0.011 0.500 0.318
```

Output
As for the space group: Cm. The relative energy among the computed polymorphs comes out at 0.31 eV per formula unit.

***

Below is ZrCd3F after structural relaxation, with properties calculated at the PBE level.

The structure in POSCAR format:
```
ZrCd3F
1.0
4.749 0.000 0.000
0.000 4.749 0.000
0.000 0.000 4.749
F Zr Cd
1 1 3
direct
0.000 0.000 0.000
0.500 0.500 0.500
0.000 0.500 0.000
0.000 0.000 0.500
0.500 0.000 0.000
```

Output
The uncorrected formation energy comes out at -0.2515 eV/atom. As for the space group: Pm-3m.

***

Below is HoHfAl2 after structural relaxation, with properties calculated at the PBE level.

The structure in POSCAR format:
```
HoHfAl2
1.0
-2.326 -1.497 2.247
2.393 -2.517 0.800
2.309 3.750 4.888
Hf Ho Al
1 1 2
direct
0.500 0.500 0.000
0.500 0.500 0.500
0.000 0.000 0.782
0.000 0.000 0.218
```

Output
Its formation energy is -0.29 eV/atom. As for the space group: P4/mmm. The relative energy among the computed polymorphs comes out at 0.00 eV per formula unit.

***

Below is PmPr8Er5 after structural relaxation, with properties calculated at the PBE level.

The structure in POSCAR format:
```
PmPr8Er5
1.0
-2.939 -4.072 7.005
8.474 1.483 0.540
-4.465 7.359 -0.446
Pm Pr Er
1 8 5
direct
0.250 0.500 0.750
0.161 0.731 0.073
0.927 0.089 0.658
0.730 0.259 0.334
0.666 0.396 0.925
0.529 0.604 0.270
0.569 0.911 0.839
0.342 0.269 0.431
0.075 0.741 0.471
0.036 0.311 0.129
0.871 0.907 0.182
0.818 0.689 0.725
0.500 0.000 0.500
0.275 0.093 0.964
```

Output
Its formation energy is 0.24 eV/atom. As for the space group: I-4.

***

| no. | total energy (eV per atom) |
| --- | --- |
| 1 | -5.817 |
| 2 | -4.313 |
| 3 | -9.116 |
| 4 | -8.186 |
| 5 | -5.070 |
| 6 | -3.068 |
| 7 | -9.091 |
| 8 | -5.166 |
| 9 | -4.657 |
| 10 | -2.884 |
| 11 | -5.798 |
| 12 | -4.461 |